[1]
The following is a DFT calculation (GGA-PBE) of a relaxed structure of Hf3NbAl.

Energy relative to the lowest polymorph listed for this composition in meV per atom: 32
Density of states at the Fermi level in states/eV/cell: 6.760
Calculated total energy in eV per atom: -7.693
M_tot in μB/f.u.: 0.00
Energy of formation in eV per atom: 1.041

extended XYZ file:
```
5
Lattice="5.0431 0.0000 0.0000 0.0000 5.0431 0.0000 0.0000 0.0000 5.0431" Properties=species:S:1:pos:R:3 pbc="T T T"
Al 2.5215 2.5215 2.5215
Hf 0.0000 2.5215 0.0000
Hf 2.5215 0.0000 0.0000
Hf 0.0000 0.0000 2.5215
Nb 0.0000 0.0000 0.0000
```

[2]
The following is a DFT calculation (GGA-PBE) of a relaxed structure of HfNbAl.

Energy relative to the lowest polymorph listed for this composition in meV per atom: 0
Density of states at the Fermi level in states/eV/cell: 5.400
Calculated total energy in eV per atom: -8.202
M_tot in μB/f.u.: 0.00
Energy of formation in eV per atom: -0.280

extended XYZ file:
```
6
Lattice="-1.2139 -2.9098 -4.2916 3.7618 -3.4169 -2.0512 -0.5428 -5.4276 0.5296" Properties=species:S:1:pos:R:3 pbc="T T T"
Hf 0.1329 -5.8465 -4.3333
Nb -0.6069 -1.4549 -2.1458
Nb 0.0000 0.0000 0.0000
Al 1.2740 -3.1634 -3.1714
Hf 1.8723 -5.9078 -1.4799
Al -0.8784 -4.1687 -1.8810
```

[3]
The following is a DFT calculation (GGA-PBE) of a relaxed structure of Hf3Nb2Al4.

Density of states at the Fermi level in states/eV/cell: 6.521
Calculated total energy in eV per atom: -7.495
M_tot in μB/f.u.: 0.00
Energy of formation in eV per atom: -0.276

extended XYZ file:
```
9
Lattice="4.5371 0.0000 0.0000 -2.2685 5.0837 -0.8839 0.0000 -3.3722 7.8584" Properties=species:S:1:pos:R:3 pbc="T T T"
Al 0.0000 -0.1911 7.0470
Nb 2.2685 0.4381 2.2086
Hf 0.0000 2.3190 1.9669
Al 2.2685 1.9026 -0.0724
Hf 0.0000 0.0000 0.0000
Al 0.0000 -0.8388 2.8747
Nb 0.0000 1.2734 4.7659
Hf 2.2685 -0.6075 5.0077
Al 2.2685 2.5502 4.0998
```

[4]
The following is a DFT calculation (GGA-PBE) of a relaxed structure of Hf2NbAl4.

Density of states at the Fermi level in states/eV/cell: 3.774
Calculated total energy in eV per atom: -5.974
M_tot in μB/f.u.: 0.00
Energy of formation in eV per atom: 0.447

extended XYZ file:
```
7
Lattice="4.7770 0.0000 0.0000 0.0000 4.7770 0.0000 2.3885 2.3885 6.9963" Properties=species:S:1:pos:R:3 pbc="T T T"
Hf 2.3885 2.3885 1.5814
Al 0.0000 2.3885 0.0000
Al 2.3885 0.0000 0.0000
Al 2.3885 2.3885 4.3977
Nb 0.0000 0.0000 0.0000
Al 4.7770 4.7770 2.5986
Hf 4.7770 4.7770 5.4149
```

[5]
The following is a DFT calculation (GGA-PBE) of a relaxed structure of Hf2NbAl2.

Energy relative to the lowest polymorph listed for this composition in meV per atom: 154
Density of states at the Fermi level in states/eV/cell: 9.556
Calculated total energy in eV per atom: -7.606
M_tot in μB/f.u.: 0.00
Energy of formation in eV per atom: -0.114

extended XYZ file:
```
10
Lattice="-2.5327 4.4403 -0.7295 -4.6100 -2.3211 1.8776 3.9785 3.2054 5.6980" Properties=species:S:1:pos:R:3 pbc="T T T"
Al 1.6979 3.1572 4.1849
Hf 0.0058 1.8909 2.3517
Hf -0.4695 5.0777 5.1242
Hf -2.6948 0.2470 1.7218
Hf -3.1701 3.4338 4.4943
Al -0.5328 2.0341 5.0934
Nb -1.2664 2.2202 -0.3648
Al -2.6315 3.2906 1.7526
Nb 0.0000 0.0000 0.0000
Al -4.8622 2.1675 2.6611
```

[6]
The following is a DFT calculation (GGA-PBE) of a relaxed structure of HfNbAl3.

Energy relative to the lowest polymorph listed for this composition in meV per atom: 772
Density of states at the Fermi level in states/eV/cell: 4.654
Calculated total energy in eV per atom: -5.494
M_tot in μB/f.u.: 0.00
Energy of formation in eV per atom: 0.756

extended XYZ file:
```
5
Lattice="4.7969 0.0000 0.0000 0.0000 4.7969 0.0000 0.0000 0.0000 4.7969" Properties=species:S:1:pos:R:3 pbc="T T T"
Al 2.3984 0.0000 0.0000
Al 0.0000 2.3984 0.0000
Al 0.0000 0.0000 2.3984
Hf 2.3984 2.3984 2.3984
Nb 0.0000 0.0000 0.0000
```

[7]
The following is a DFT calculation (GGA-PBE) of a relaxed structure of Hf3Nb3Al2.

Density of states at the Fermi level in states/eV/cell: 9.621
Calculated total energy in eV per atom: -8.646
M_tot in μB/f.u.: 0.00
Energy of formation in eV per atom: -0.202

extended XYZ file:
```
8
Lattice="-2.7363 -2.1136 2.6756 2.8789 -3.5613 0.1309 3.4979 3.0477 5.9848" Properties=species:S:1:pos:R:3 pbc="T T T"
Al 0.8591 0.7485 1.4698
Nb 2.7182 -0.5313 5.9319
Nb 0.9224 -2.0960 2.8594
Hf 3.1884 -0.2568 3.0578
Hf 0.3808 0.4670 4.3302
Al 2.6388 2.2992 4.5149
Hf -1.3681 -1.0568 1.3378
Nb 1.4395 -1.7807 0.0655
```

[8]
The following is a DFT calculation (GGA-PBE) of a relaxed structure of HfNbAl.

Energy relative to the lowest polymorph listed for this composition in meV per atom: 85
Density of states at the Fermi level in states/eV/cell: 3.185
Calculated total energy in eV per atom: -8.116
M_tot in μB/f.u.: 0.00
Energy of formation in eV per atom: -0.194

extended XYZ file:
```
3
Lattice="-2.6988 0.6655 2.1825 1.5162 -2.0030 2.4857 2.7517 4.2605 -0.7578" Properties=species:S:1:pos:R:3 pbc="T T T"
Hf -0.0973 0.1525 2.6945
Al 1.3254 2.5177 3.7326
Nb 1.2621 2.0982 0.9209
```